No. 1
A plane-wave DFT calculation with PBE-GGA was carried out for a relaxed structure of KHf2IrC.

Output
- Energy of formation from the pure elements: 1674.8 meV/atom
- DOS(E_F): 0.5811 states/eV per atom
- Spin magnetization: 2.106 μB per formula unit
- ρ: 6.302 Mg/m³

Lattice parameters (Å, degrees): 4.9308 6.5056 4.9308 90.00 90.00 90.00
Last column: magnetic moment on the atom in μB.
Positions (direct):
K (0.0000, 0.5000, 0.0000)  0.01
Ir (0.0000, 0.0000, 0.0000)  0.06
Hf (0.0000, 0.0000, 0.5000)  -0.03
Hf (0.5000, 0.0000, 0.0000)  -0.01
C (0.5000, 0.5000, 0.5000)  0.95

***

No. 2
A plane-wave DFT calculation with PBE-GGA was carried out for a relaxed structure of La2HfIrC.

Output
- Energy of formation from the pure elements: -16.4 meV/atom
- DOS(E_F): 0.9151 states/eV per atom
- Spin magnetization: 0.000 μB per formula unit
- ρ: 9.559 Mg/m³

Lattice parameters (Å, degrees): 5.4523 3.8599 5.4523 90.00 90.00 90.00
Positions (direct):
C (0.0000, 0.0000, 0.0000)
Ir (0.0000, 0.5000, 0.0000)
Hf (0.5000, 0.5000, 0.5000)
La (0.0000, 0.0000, 0.5000)
La (0.5000, 0.0000, 0.0000)

***

No. 3
A plane-wave DFT calculation with PBE-GGA was carried out for a relaxed structure of La2HfIrC.

Output
- Energy of formation from the pure elements: 1038.9 meV/atom
- DOS(E_F): 1.1388 states/eV per atom
- Spin magnetization: 0.000 μB per formula unit
- ρ: 8.432 Mg/m³

Lattice parameters (Å, degrees): 5.6590 4.0621 5.6590 90.00 90.00 90.00
Positions (direct):
C (0.0000, 0.5000, 0.0000)
Ir (0.5000, 0.5000, 0.5000)
Hf (0.0000, 0.0000, 0.0000)
La (0.0000, 0.0000, 0.5000)
La (0.5000, 0.0000, 0.0000)

***

No. 4
A plane-wave DFT calculation with PBE-GGA was carried out for a relaxed structure of LiHfIrC2.

Output
- Energy of formation from the pure elements: 1573.2 meV/atom
- DOS(E_F): 0.6502 states/eV per atom
- Spin magnetization: 0.000 μB per formula unit
- ρ: 11.103 Mg/m³

Lattice parameters (Å, degrees): 3.8864 3.9771 3.8864 90.00 90.00 90.00
Positions (direct):
C (0.0000, 0.0000, 0.5000)
C (0.5000, 0.0000, 0.0000)
Ir (0.0000, 0.5000, 0.0000)
Hf (0.5000, 0.5000, 0.5000)
Li (0.0000, 0.0000, 0.0000)

***

No. 5
A plane-wave DFT calculation with PBE-GGA was carried out for a relaxed structure of Hf2MnIrC.

Output
- Energy of formation from the pure elements: -605.0 meV/atom
- DOS(E_F): 0.2146 states/eV per atom
- Spin magnetization: 0.000 μB per formula unit
- ρ: 13.769 Mg/m³

Lattice parameters (Å, degrees): 4.5174 4.5174 3.6411 90.00 90.00 90.00
Positions (direct):
C (0.0000, 0.0000, 0.0000)
Ir (0.5000, 0.5000, 0.5000)
Hf (0.0000, 0.5000, 0.0000)
Hf (0.5000, 0.0000, 0.0000)
Mn (0.0000, 0.0000, 0.5000)

***

No. 6
A plane-wave DFT calculation with PBE-GGA was carried out for a relaxed structure of HfPIr2C.

Output
- Energy of formation from the pure elements: 112.0 meV/atom
- DOS(E_F): 0.3154 states/eV per atom
- Spin magnetization: 0.000 μB per formula unit
- ρ: 13.212 Mg/m³

Lattice parameters (Å, degrees): 3.9188 4.9587 3.9188 90.00 90.00 90.00
Positions (direct):
P (0.0000, 0.5000, 0.0000)
C (0.0000, 0.0000, 0.0000)
Ir (0.0000, 0.0000, 0.5000)
Ir (0.5000, 0.0000, 0.0000)
Hf (0.5000, 0.5000, 0.5000)

***

No. 7
A plane-wave DFT calculation with PBE-GGA was carried out for a relaxed structure of HfIrPtC2.

Output
- Energy of formation from the pure elements: 1400.6 meV/atom
- DOS(E_F): 0.9766 states/eV per atom
- Spin magnetization: 0.002 μB per formula unit
- ρ: 12.099 Mg/m³

Lattice parameters (Å, degrees): 3.8731 5.3963 3.8731 90.00 90.00 90.00
Positions (direct):
C (0.0000, 0.0000, 0.5000)
C (0.5000, 0.0000, 0.0000)
Ir (0.0000, 0.5000, 0.0000)
Hf (0.5000, 0.5000, 0.5000)
Pt (0.0000, 0.0000, 0.0000)

***

No. 8
A plane-wave DFT calculation with PBE-GGA was carried out for a relaxed structure of HfIrRu2C.

Output
- Energy of formation from the pure elements: -331.0 meV/atom
- DOS(E_F): 0.5424 states/eV per atom
- Spin magnetization: 0.000 μB per formula unit
- ρ: 14.017 Mg/m³

Lattice parameters (Å, degrees): 4.1199 4.1199 4.0821 90.00 90.00 90.00
Positions (direct):
Ru (0.0000, 0.5000, 0.0000)
Ru (0.5000, 0.0000, 0.0000)
C (0.0000, 0.0000, 0.0000)
Ir (0.0000, 0.0000, 0.5000)
Hf (0.5000, 0.5000, 0.5000)

***

No. 9
A plane-wave DFT calculation with PBE-GGA was carried out for a relaxed structure of HfTaIrC2.

Output
- Energy of formation from the pure elements: 1161.3 meV/atom
- DOS(E_F): 0.7278 states/eV per atom
- Spin magnetization: 0.000 μB per formula unit
- ρ: 11.376 Mg/m³

Lattice parameters (Å, degrees): 4.0885 5.0273 4.0885 90.00 90.00 90.00
Positions (direct):
C (0.0000, 0.0000, 0.5000)
C (0.5000, 0.0000, 0.0000)
Ir (0.0000, 0.5000, 0.0000)
Hf (0.5000, 0.5000, 0.5000)
Ta (0.0000, 0.0000, 0.0000)

***

No. 10
A plane-wave DFT calculation with PBE-GGA was carried out for a relaxed structure of Hf2TeIrC.

Output
- DOS(E_F): 0.4827 states/eV per atom
- Spin magnetization: 0.000 μB per formula unit
- Energy relative to the elements, uncorrected: 0.1409 eV per atom
- ρ: 11.045 Mg/m³

Lattice parameters (Å, degrees): 5.2126 3.8113 5.2126 90.00 90.00 90.00
Positions (direct):
Te (0.5000, 0.5000, 0.5000)
Ir (0.0000, 0.0000, 0.0000)
Hf (0.0000, 0.0000, 0.5000)
Hf (0.5000, 0.0000, 0.0000)
C (0.0000, 0.5000, 0.0000)

***

No. 11
A plane-wave DFT calculation with PBE-GGA was carried out for a relaxed structure of Hf2TeIrC.

Output
- DOS(E_F): 0.5920 states/eV per atom
- Spin magnetization: 0.000 μB per formula unit
- Energy relative to the elements, uncorrected: 0.0840 eV per atom
- ρ: 12.807 Mg/m³

Lattice parameters (Å, degrees): 4.4036 4.4036 4.6055 90.00 90.00 90.00
Positions (direct):
Te (0.0000, 0.0000, 0.5000)
Ir (0.5000, 0.5000, 0.5000)
Hf (0.0000, 0.5000, 0.0000)
Hf (0.5000, 0.0000, 0.0000)
C (0.0000, 0.0000, 0.0000)

***

No. 12
A plane-wave DFT calculation with PBE-GGA was carried out for a relaxed structure of HfTeIr2C.

Output
- DOS(E_F): 1.4163 states/eV per atom
- Spin magnetization: 0.062 μB per formula unit
- Energy relative to the elements, uncorrected: 2.4736 eV per atom
- ρ: 9.023 Mg/m³

Lattice parameters (Å, degrees): 4.8547 5.4861 4.8547 90.00 90.00 90.00
Last column: magnetic moment on the atom in μB.
Positions (direct):
Te (0.0000, 0.5000, 0.0000)  -0.19
Ir (0.0000, 0.0000, 0.5000)  -0.41
Ir (0.5000, 0.0000, 0.0000)  -0.29
Hf (0.0000, 0.0000, 0.0000)  0.02
C (0.5000, 0.5000, 0.5000)  0.57